First-principles (PBE) data for a relaxed BaAlCdAu3 crystal, as listed in the Alexandria database.

POSCAR file:
```
BaAlCdAu3
1.0
3.6212 -6.4797 0.0000
3.6212 6.4797 0.0000
0.0000 0.0000 6.8554
Ba Al Cd Au
2 2 2 6
Cartesian
3.6212 3.6307 5.1416
3.6212 -3.6307 1.7139
3.6212 5.2635 1.7139
3.6212 -5.2635 5.1416
3.6212 0.0178 1.7139
3.6212 -0.0178 5.1416
1.4510 0.0000 0.0000
1.4510 0.0000 3.4277
3.6212 2.8011 1.7139
3.6212 -2.8011 5.1416
5.7915 0.0000 0.0000
5.7915 0.0000 3.4277
```

Computed properties:
Size of the total moment   0.000 μB per cell
Calculated total energy   -3.16 eV per atom
ΔH_f (0 K)   -2.6 eV per formula unit